1.
ZnTc3Ge PBE optimized geometry; total magnetic moment = 0.000 μB per cell; energy above the lowest structure with this stoichiometry = 0.000 eV/f.u.
1.0
4.537 0.000 0.000
0.000 4.537 0.000
0.000 0.000 4.537
Tc Ge Zn
3 1 1
Cartesian
0.000 0.000 2.268
2.268 0.000 0.000
0.000 2.268 0.000
0.000 0.000 0.000
2.268 2.268 2.268

2.
ZnTcGe3 PBE optimized geometry; total magnetic moment = 0.000 μB per cell; energy above the lowest structure with this stoichiometry = 0.000 eV/f.u.
1.0
-0.714 3.291 3.467
-4.779 -0.582 -0.432
0.123 -3.492 3.340
Ge Zn Tc
3 1 1
Cartesian
0.062 -1.746 1.670
-2.389 -0.291 -0.216
-0.357 1.645 1.733
-2.685 -0.391 3.187
0.000 0.000 0.000